# MgNiSb2I | Alexandria | PBE-GGA | optimized geometry
data_MgNiSb2I
_chemical_formula_sum 'Mg1 Ni1 Sb2 I1'
_cell_length_a 4.958
_cell_length_b 4.958
_cell_length_c 5.634
_cell_angle_alpha 90.00
_cell_angle_beta 90.00
_cell_angle_gamma 90.00
_symmetry_space_group_name_H-M 'P 4/m m m'
_symmetry_Int_Tables_number 123
_symmetry_space_group_name_Hall '-P 4 2'
loop_
_atom_site_label
_atom_site_type_symbol
_atom_site_fract_x
_atom_site_fract_y
_atom_site_fract_z
_atom_site_occupancy
Mg1 Mg 0.000 0.000 0.000 1
Ni1 Ni 0.500 0.500 0.500 1
Sb1 Sb 0.000 0.500 0.500 1
I1 I 0.500 0.500 0.000 1
# Energy relative to the lowest polymorph listed for this composition (eV per formula unit): 0.00
# ΔE_f (raw) (eV/atom): 0.277
# Final energy (eV/atom): -3.16
# Fermi-level density of states (states/eV per atom): 1.2485

# CePu5Pt6 | Alexandria | PBE-GGA | optimized geometry
data_CePu5Pt6
_chemical_formula_sum 'Ce2 Pu10 Pt12'
_cell_length_a 4.988
_cell_length_b 7.032
_cell_length_c 14.996
_cell_angle_alpha 90.00
_cell_angle_beta 90.00
_cell_angle_gamma 90.00
_symmetry_space_group_name_H-M 'I m m m'
_symmetry_Int_Tables_number 71
_symmetry_space_group_name_Hall '-I 2 2'
loop_
_atom_site_label
_atom_site_type_symbol
_atom_site_fract_x
_atom_site_fract_y
_atom_site_fract_z
_atom_site_occupancy
Ce1 Ce 0.000 0.000 0.000 1
Pu1 Pu 0.000 0.000 0.332 1
Pu2 Pu 0.000 0.500 0.000 1
Pu3 Pu 0.000 0.500 0.336 1
Pt1 Pt 0.000 0.242 0.500 1
Pt2 Pt 0.000 0.254 0.168 1
# Final energy (eV/atom): -10.23
# Calculated formation energy (eV/atom): -0.748
# Fermi-level density of states (states/eV per atom): 5.1087

# Cu2TcMo | Alexandria | PBE-GGA | optimized geometry
data_Cu2TcMo
_chemical_formula_sum 'Cu8 Tc4 Mo4'
_cell_length_a 5.418
_cell_length_b 5.418
_cell_length_c 10.661
_cell_angle_alpha 90.00
_cell_angle_beta 90.00
_cell_angle_gamma 90.00
_symmetry_space_group_name_H-M 'I -4 2 d'
_symmetry_Int_Tables_number 122
_symmetry_space_group_name_Hall 'I -4 2bw'
loop_
_atom_site_label
_atom_site_type_symbol
_atom_site_fract_x
_atom_site_fract_y
_atom_site_fract_z
_atom_site_occupancy
Cu1 Cu 0.244 0.250 0.125 1
Tc1 Tc 0.000 0.000 0.000 1
Mo1 Mo 0.000 0.000 0.500 1
# Energy relative to the lowest polymorph listed for this composition (eV per formula unit): 7.19
# Final energy (eV/atom): -5.38
# Calculated formation energy (eV/atom): 1.963
# Fermi-level density of states (states/eV per atom): 0.9943

# ReAs2W | Alexandria | PBE-GGA | optimized geometry
data_ReAs2W
_chemical_formula_sum 'Re1 As2 W1'
_cell_length_a 3.242
_cell_length_b 3.242
_cell_length_c 6.035
_cell_angle_alpha 90.00
_cell_angle_beta 90.00
_cell_angle_gamma 90.00
_symmetry_space_group_name_H-M 'P 4 m m'
_symmetry_Int_Tables_number 99
loop_
_symmetry_equiv_pos_as_xyz
'x,y,z'
'-y,x,z'
'-x,-y,z'
'y,-x,z'
'-x,y,z'
'y,x,z'
'x,-y,z'
'-y,-x,z'
loop_
_atom_site_label
_atom_site_type_symbol
_atom_site_fract_x
_atom_site_fract_y
_atom_site_fract_z
_atom_site_occupancy
Re1 Re 0.000 0.000 0.000 1
As1 As 0.000 0.000 0.501 1
As2 As 0.500 0.500 0.809 1
W1 W 0.500 0.500 0.314 1
# Energy relative to the lowest polymorph listed for this composition (eV per formula unit): 0.48
# Final energy (eV/atom): -8.43
# Calculated formation energy (eV/atom): 0.241
# Fermi-level density of states (states/eV per atom): 0.5910

# BaCdBi4Rh2 | Alexandria | PBE-GGA | optimized geometry
data_BaCdBi4Rh2
_chemical_formula_sum 'Ba1 Cd1 Bi4 Rh2'
_cell_length_a 4.775
_cell_length_b 4.775
_cell_length_c 11.037
_cell_angle_alpha 90.00
_cell_angle_beta 90.00
_cell_angle_gamma 90.00
_symmetry_space_group_name_H-M 'P 4/m m m'
_symmetry_Int_Tables_number 123
_symmetry_space_group_name_Hall '-P 4 2'
loop_
_atom_site_label
_atom_site_type_symbol
_atom_site_fract_x
_atom_site_fract_y
_atom_site_fract_z
_atom_site_occupancy
Ba1 Ba 0.000 0.000 0.000 1
Cd1 Cd 0.000 0.000 0.500 1
Bi1 Bi 0.000 0.500 0.261 1
Rh1 Rh 0.500 0.500 0.384 1
# Final energy (eV/atom): -4.14
# Calculated formation energy (eV/atom): -0.011
# Fermi-level density of states (states/eV per atom): 0.8240

# LiO2F2 | Alexandria | PBE-GGA | optimized geometry
data_LiO2F2
_chemical_formula_sum 'Li2 O4 F4'
_cell_length_a 5.869
_cell_length_b 5.869
_cell_length_c 3.239
_cell_angle_alpha 90.00
_cell_angle_beta 90.00
_cell_angle_gamma 90.00
_symmetry_space_group_name_H-M 'P 4/m b m'
_symmetry_Int_Tables_number 127
_symmetry_space_group_name_Hall '-P 4 2ab'
loop_
_atom_site_label
_atom_site_type_symbol
_atom_site_fract_x
_atom_site_fract_y
_atom_site_fract_z
_atom_site_occupancy
Li1 Li 0.000 0.000 0.000 1
O1 O 0.247 0.253 0.000 1
F1 F 0.174 0.326 0.500 1
# Energy relative to the lowest polymorph listed for this composition (eV per formula unit): 4.89
# ΔE_f (raw) (eV/atom): -0.180
# Final energy (eV/atom): -3.29
# Fermi-level density of states (states/eV per atom): 0.4576